The following is a DFT calculation (GGA+U) of a geometry-optimized KWIO6 structure.

Output
DFT total energy   -5.728 eV/atom
Space group   No. 1
N(E_F)   0.00 states/eV per cell

abc: 5.307 5.741 5.884
angles: 89.45 88.63 62.66
Fractional positions:
K1 0.000 0.000 0.000
W1 0.338 0.321 0.500
I1 0.672 0.655 0.499
O1 0.016 0.604 0.316
O2 0.376 0.607 0.680
O3 0.386 0.071 0.287
O4 0.540 0.075 0.714
O5 0.631 0.393 0.318
O6 0.974 0.391 0.680